Density functional theory data (PBE-GGA) for Rb2ZrOsO6 after structural relaxation.

```
Rb2ZrOsO6
1.0
-5.740 0.104 0.763
-0.770 -0.698 -5.697
3.246 -3.771 2.965
Rb Zr Os O
2 1 1 6
Cartesian
-2.874 -1.981 0.627
-0.390 -2.382 -2.602
-0.009 -4.067 0.495
-2.494 -3.666 3.725
-4.959 -0.453 -3.762
-3.261 -2.430 -2.209
1.695 -3.911 1.787
-1.312 -3.857 2.188
-0.004 -1.934 0.234
1.293 -4.277 -1.198
```

Formation energy from raw total energies ... -1905 meV/atom
Space-group type ... Fm-3m, No. 225


Density functional theory data (PBE-GGA) for Ce7Th2 after structural relaxation.

```
Ce7Th2
1.0
-2.748 3.594 -4.142
-4.706 -2.156 -3.291
-12.379 5.459 8.407
Ce Th
14 4
Cartesian
-9.916 3.449 0.487
-4.070 1.277 -0.733
-15.763 5.620 1.707
-13.125 5.064 4.016
-6.708 1.834 -3.043
-1.374 1.797 -2.071
-2.353 -1.078 -1.646
-3.727 0.719 -3.717
-12.866 4.529 1.000
-10.399 5.659 2.725
-11.425 2.645 3.171
-6.967 2.369 -0.027
-9.434 1.238 -1.752
-8.407 4.252 -2.197
-10.592 4.560 6.441
-9.241 2.338 -5.468
-7.844 3.177 3.418
-11.989 3.721 -2.444
```

Energy of formation from the pure elements ... 20.0 kJ/mol of atoms
Space-group type ... R-3m, No. 166
ΔE to the lowest computed polymorph ... 188 meV per atom


Density functional theory data (PBE-GGA) for Sr4SmZn5 after structural relaxation.

```
Sr4SmZn5
1.0
3.829 0.000 0.000
0.000 3.829 0.000
0.000 0.000 19.403
Sr Sm Zn
4 1 5
Cartesian
0.000 0.000 3.717
0.000 0.000 7.700
0.000 0.000 11.703
0.000 0.000 15.686
0.000 0.000 0.000
1.914 1.914 1.605
1.914 1.914 5.724
1.914 1.914 9.702
1.914 1.914 13.679
1.914 1.914 17.798
```

Energy of formation from the pure elements ... -19.7 kJ/mol of atoms
Space-group type ... P4/mmm, No. 123


Density functional theory data (PBE-GGA) for NdYScAg after structural relaxation.

```
NdYScAg
1.0
3.570 0.000 0.000
0.000 3.570 0.000
0.000 0.000 8.465
Nd Y Sc Ag
1 1 1 1
Cartesian
0.000 0.000 0.748
1.785 1.785 6.583
1.785 1.785 3.120
0.000 0.000 4.657
```

Energy of formation from the pure elements ... -10.4 kJ/mol of atoms
Space-group type ... P4mm, No. 99
ΔE to the lowest computed polymorph ... 0 meV per atom


| no. | energy (eV per cell) | size of the total moment (μB per cell) | Fermi-level density of states (states/eV/atom) |
| --- | --- | --- | --- |
| 1 | -70.5 | 0.00 | 0.35 |
| 2 | -109.0 | 0.13 | 3.07 |
| 3 | -19.9 | 0.16 | 0.70 |
| 4 | -20.8 | 0.00 | 1.57 |